First-principles (PBE) data for an optimized crystal structure of NaLa2HgO, as listed in Alexandria via LeMat-Bulk.

Computed properties:
Magnetization: 0.0 Bohr magnetons per cell
Density of states at the Fermi level: 0.836 states/eV/atom
Volume: 24.3 A^3/atom
Calculated total energy: -4.526 eV per atom

```
data_NaLa2HgO
_chemical_formula_sum 'Na1 La2 Hg1 O1'
_space_group_name_H-M_alt 'P 4/m m m'
_space_group_IT_number 123
_space_group_name_Hall '-P 4 2'
_cell_length_a 4.9890
_cell_length_b 4.9890
_cell_length_c 4.8746
_cell_angle_alpha 90.00
_cell_angle_beta 90.00
_cell_angle_gamma 90.00
loop_
_atom_site_label
_atom_site_type_symbol
_atom_site_fract_x
_atom_site_fract_y
_atom_site_fract_z
Na1 Na 0.0000 0.0000 0.0000
La1 La 0.0000 0.5000 0.5000
Hg1 Hg 0.5000 0.5000 0.0000
O1 O 0.0000 0.0000 0.5000
```